[1]
Density functional theory data (GGA-PBEsol) for CuAsAu2 after structural relaxation.

Cell: 3.981 3.981 4.920 Å, 113.87 113.87 90.00°
Element x y z (fractional)
As: 0.000 0.000 0.000
Au: 0.750 0.250 0.500
Au: 0.250 0.750 0.500
Cu: 0.500 0.500 0.000

* formation energy from the elements: 0.1340 eV per atom
* V: 63.9 Å³/f.u.
* total energy: -4.19 eV per atom

=====

[2]
Density functional theory data (GGA-PBEsol) for CuAsAu after structural relaxation.

Cell: 2.825 2.825 6.218 Å, 103.29 103.13 90.00°
Element x y z (fractional)
As: 0.983 0.982 0.965
Au: 0.681 0.681 0.362
Cu: 0.336 0.337 0.673

* distance to the lowest polymorph of the same formula: 0 meV/atom
* formation energy from the elements: 0.1170 eV per atom
* V: 47.0 Å³/f.u.
* total energy: -4.34 eV per atom

=====

[3]
Density functional theory data (GGA-PBEsol) for Cu2AsAu after structural relaxation.

Cell: 2.831 4.630 4.670 Å, 98.17 90.00 107.80°
Element x y z (fractional)
As: 0.507 0.015 0.538
Au: 0.744 0.488 0.230
Cu: 0.994 0.989 0.985
Cu: 0.254 0.508 0.747

* formation energy from the elements: 0.0851 eV per atom
* V: 57.6 Å³/f.u.
* total energy: -4.34 eV per atom

=====

[4]
Density functional theory data (GGA-PBEsol) for CuAsAu after structural relaxation.

Cell: 4.228 4.228 4.228 Å, 60.00 60.00 60.00°
Element x y z (fractional)
As: 0.500 0.500 0.500
Au: 0.250 0.250 0.250
Cu: 0.000 0.000 0.000

* distance to the lowest polymorph of the same formula: 35 meV/atom
* formation energy from the elements: 0.1522 eV per atom
* V: 53.4 Å³/f.u.
* total energy: -4.30 eV per atom

=====

[5]
Density functional theory data (GGA-PBEsol) for Cu3AsAu after structural relaxation.

Cell: 4.398 4.398 4.398 Å, 90.00 90.00 90.00°
Element x y z (fractional)
As: 0.000 0.000 0.000
Au: 0.500 0.500 0.500
Cu: 0.000 0.500 0.000
Cu: 0.000 0.000 0.500
Cu: 0.500 0.000 0.000

* formation energy from the elements: 0.5010 eV per atom
* V: 85.1 Å³/f.u.
* total energy: -3.91 eV per atom

=====

[6]
Density functional theory data (GGA-PBEsol) for Eu2AsAu after structural relaxation.

Cell: 5.152 5.152 5.152 Å, 60.00 60.00 60.00°
Site moments in Bohr magnetons follow the coordinates.
Element x y z (fractional)
Eu: 0.750 0.750 0.750  6.82
Eu: 0.250 0.250 0.250  6.82
As: 0.500 0.500 0.500  -0.08
Au: 0.000 0.000 0.000  0.00

* formation energy from the elements: -1.0324 eV per atom
* V: 96.7 Å³/f.u.
* total energy: -8.57 eV per atom

=====

[7]
Density functional theory data (GGA-PBEsol) for SbAsAuF9 after structural relaxation.

Cell: 8.008 9.116 10.919 Å, 90.00 97.16 90.00°
Element x y z (fractional)
Sb: 0.261 0.317 0.920
Sb: 0.239 0.817 0.580
Sb: 0.761 0.183 0.420
Sb: 0.739 0.683 0.080
As: 0.248 0.360 0.391
As: 0.252 0.860 0.109
As: 0.748 0.140 0.891
As: 0.752 0.640 0.609
Au: 0.199 0.285 0.582
Au: 0.301 0.785 0.918
Au: 0.699 0.215 0.082
Au: 0.801 0.715 0.418
F: 0.054 0.305 0.987
F: 0.045 0.818 0.665
F: 0.139 0.247 0.762
F: 0.098 0.463 0.305
F: 0.113 0.884 0.432
F: 0.083 0.970 0.125
F: 0.210 0.512 0.864
F: 0.192 0.617 0.537
F: 0.308 0.117 0.963
F: 0.221 0.732 0.218
F: 0.290 0.012 0.636
F: 0.279 0.232 0.282
F: 0.361 0.747 0.738
F: 0.455 0.318 0.835
F: 0.417 0.470 0.375
F: 0.387 0.384 0.068
F: 0.402 0.963 0.195
F: 0.446 0.805 0.513
F: 0.554 0.195 0.487
F: 0.598 0.037 0.805
F: 0.613 0.616 0.932
F: 0.583 0.530 0.625
F: 0.545 0.682 0.165
F: 0.639 0.253 0.262
F: 0.721 0.768 0.718
F: 0.710 0.988 0.364
F: 0.779 0.268 0.782
F: 0.692 0.883 0.037
F: 0.808 0.383 0.463
F: 0.790 0.488 0.136
F: 0.917 0.030 0.875
F: 0.887 0.116 0.568
F: 0.902 0.537 0.695
F: 0.861 0.753 0.238
F: 0.955 0.182 0.335
F: 0.946 0.695 0.013

* formation energy without anion corrections: -1.95 eV/atom
* V: 197.7 Å³/f.u.
* total energy: -4.53 eV per atom

=====

[8]
Density functional theory data (GGA-PBEsol) for Fe3AsAu after structural relaxation.

Cell: 4.645 4.645 4.645 Å, 90.00 90.00 90.00°
Site moments in Bohr magnetons follow the coordinates.
Element x y z (fractional)
As: 0.500 0.500 0.500  0.00
Au: 0.000 0.000 0.000  0.19
Fe: 0.000 0.500 0.000  3.12
Fe: 0.000 0.000 0.500  3.12
Fe: 0.500 0.000 0.000  3.12

* formation energy from the elements: 1.4463 eV per atom
* V: 100.2 Å³/f.u.
* total energy: -5.74 eV per atom

=====

Question: The lowest V belongs to which entry?
Answer: number 2